Ba2MnZn after structural relaxation, computed with PBE-GGA.

Unit cell a=4.642 b=5.054 c=6.657 alpha=67.70 beta=90.00 gamma=90.00
Last column: magnetic moment on the atom in μB.
Element x y z (fractional)
1 Mn 0.000 0.671 0.532  3.74
2 Ba 0.000 0.984 0.908  -0.10
3 Ba 0.500 0.272 0.331  -0.10
4 Zn 0.500 0.573 0.729  -0.07

Output
Total magnetization ... 3.2 μB per cell
E ... -13.47 eV for the cell shown
Calculated formation energy ... 19.9 kJ per mole of atoms